First-principles (PBE+U) data for a geometry-optimized PmVTe2O8 structure, as listed in Alexandria via LeMat-Bulk.

Properties
The value obtained for the calculated volume is 184.6 Å³/f.u. The total DFT energy (no corrections) is -6.26 eV per atom. The space group is I-4m2.

a b c (Å): 6.2196 6.2196 6.2196
angles (deg): 107.65 107.65 113.17
Fractional coordinates of all 12 atoms:
Pm: 0.0000 0.0000 0.0000
V: 0.7500 0.2500 0.5000
Te: 0.2500 0.7500 0.5000
Te: 0.5000 0.5000 0.0000
O: 0.0626 0.3790 0.3164
O: 0.0626 0.7462 0.6836
O: 0.1149 0.3056 0.8093
O: 0.2538 0.9374 0.3164
O: 0.4963 0.3056 0.1907
O: 0.6210 0.9374 0.6836
O: 0.6944 0.5037 0.8093
O: 0.6944 0.8851 0.1907